Entry w
DFT (PBE-GGA) results for crystalline SiPbF2 at its relaxed geometry.

Geometry as POSCAR:
```
SiPbF2
1.0
2.037 1.176 4.671
-2.037 1.176 4.671
0.000 -2.353 4.671
Si Pb F
1 1 2
Cartesian
0.000 0.000 0.000
0.000 0.000 7.006
0.000 0.000 4.319
0.000 0.000 9.693
```

Results
Fermi-level density of states ... 0.28 states/eV/atom
V ... 67.16 Å³ per cell

Entry x
DFT (PBE-GGA) results for crystalline SiPbF2 at its relaxed geometry.

Geometry as POSCAR:
```
SiPbF2
1.0
0.000 3.226 3.226
3.226 0.000 3.226
3.226 3.226 0.000
Si Pb F
1 1 2
Cartesian
0.000 0.000 0.000
3.226 3.226 3.226
1.613 1.613 1.613
4.839 4.839 4.839
```

Results
Fermi-level density of states ... 0.93 states/eV/atom
V ... 67.13 Å³ per cell

Referenced to the most stable arrangement, the calculated values in meV per atom are entry w 0; entry x 232.